[1]
The following is a DFT calculation (PBE) of an optimized crystal structure of CuTeAu.

Cell and atoms, written as POSCAR:
```
CuTeAu
1.0
-1.9272 1.9272 4.0470
1.9272 -1.9272 4.0470
1.9272 1.9272 -4.0470
Cu Te Au
1 1 1
Direct
0.0000 0.0000 0.0000
0.3320 0.3320 0.0000
0.6743 0.6743 0.0000
```

## Properties
M_tot	0.0	μB/f.u.
space-group type	I4mm
energy relative to the elements, uncorrected	0.20	eV per atom
total DFT energy (no corrections)	-3.309	eV/atom

***

[2]
The following is a DFT calculation (PBE) of an optimized crystal structure of Cu2TeAu.

Cell and atoms, written as POSCAR:
```
Cu2TeAu
1.0
4.2610 0.0000 0.0000
0.0000 4.2610 0.0000
0.0000 0.0000 3.7972
Cu Te Au
2 1 1
Direct
0.0000 0.5000 0.0000
0.5000 0.0000 0.0000
0.0000 0.0000 0.5000
0.5000 0.5000 0.5000
```

## Properties
M_tot	0.0	μB/f.u.
space-group type	P4/mmm
energy relative to the elements, uncorrected	0.14	eV per atom
total DFT energy (no corrections)	-3.515	eV/atom

***

[3]
The following is a DFT calculation (PBE) of an optimized crystal structure of CuTe4Au2.

Cell and atoms, written as POSCAR:
```
CuTe4Au2
1.0
-3.9507 4.1404 5.8747
3.9507 -4.1404 5.8747
3.9507 4.1404 -5.8747
Cu Te Au
2 8 4
Direct
0.5000 0.0000 0.0000
0.5000 0.5000 0.5000
0.2665 0.2576 0.4912
0.2665 0.7753 0.0088
0.2702 0.2409 0.0293
0.2884 0.7591 0.5293
0.7116 0.2409 0.4707
0.7298 0.7591 0.9707
0.7335 0.2247 0.9912
0.7335 0.7424 0.5088
0.0000 0.0000 0.0000
0.1104 0.3604 0.7500
0.5000 0.0000 0.5000
0.8896 0.6396 0.2500
```

## Properties
M_tot	0.0	μB/f.u.
space-group type	Imma
energy relative to the elements, uncorrected	0.02	eV per atom
energy above the most stable polymorph in this dataset	0.022	eV/atom
total DFT energy (no corrections)	-3.301	eV/atom

***

[4]
The following is a DFT calculation (PBE) of an optimized crystal structure of Cu2Te3Au.

Cell and atoms, written as POSCAR:
```
Cu2Te3Au
1.0
3.6662 -6.4009 0.0000
3.6662 6.4009 0.0000
-2.4353 0.0000 6.9477
Cu Te Au
4 6 2
Direct
0.0822 0.9178 0.5000
0.2417 0.7477 0.0026
0.7477 0.2417 0.5026
0.9178 0.0822 0.0000
0.0192 0.1863 0.3673
0.1863 0.0192 0.8673
0.3679 0.8858 0.3690
0.5389 0.7251 0.8875
0.7251 0.5389 0.3875
0.8858 0.3679 0.8690
0.4114 0.5807 0.4979
0.5807 0.4114 0.9979
```

## Properties
M_tot	0.0	μB/f.u.
space-group type	Cc
energy relative to the elements, uncorrected	-0.02	eV per atom
energy above the most stable polymorph in this dataset	0.000	eV/atom
total DFT energy (no corrections)	-3.504	eV/atom

***

[5]
The following is a DFT calculation (PBE) of an optimized crystal structure of CuTe6Au.

Cell and atoms, written as POSCAR:
```
CuTe6Au
1.0
6.5654 0.0000 0.0000
3.0250 5.8586 0.0000
3.0166 1.8769 5.5626
Cu Te Au
1 6 1
Direct
0.0000 0.0000 0.0000
0.0324 0.7647 0.4509
0.2330 0.5517 0.9648
0.4496 0.0326 0.7695
0.5504 0.9674 0.2305
0.7670 0.4483 0.0352
0.9676 0.2353 0.5491
0.5000 0.5000 0.5000
```

## Properties
M_tot	0.0	μB/f.u.
space-group type	P-1
energy relative to the elements, uncorrected	0.11	eV per atom
total DFT energy (no corrections)	-3.173	eV/atom

***

[6]
The following is a DFT calculation (PBE) of an optimized crystal structure of Cu2TeAu.

Cell and atoms, written as POSCAR:
```
Cu2TeAu
1.0
3.7683 0.0000 0.0000
0.0000 3.9690 0.0000
-1.0352 0.0000 4.7180
Cu Te Au
2 1 1
Direct
0.0000 0.0000 0.0000
0.0984 0.5000 0.3459
0.6244 0.0000 0.4636
0.4522 0.5000 0.9048
```

## Properties
M_tot	0.0	μB/f.u.
space-group type	Pm
energy relative to the elements, uncorrected	0.12	eV per atom
total DFT energy (no corrections)	-3.536	eV/atom

***

[7]
The following is a DFT calculation (PBE) of an optimized crystal structure of CuTe3Au.

Cell and atoms, written as POSCAR:
```
CuTe3Au
1.0
7.4930 -4.4800 0.0000
7.4930 4.4800 0.0000
-2.6521 0.0000 8.1281
Cu Te Au
4 12 4
Direct
0.1543 0.2949 0.2698
0.2949 0.1543 0.7698
0.7051 0.8457 0.2302
0.8457 0.7051 0.7302
0.1264 0.1271 0.9693
0.1271 0.1264 0.4693
0.1796 0.5066 0.8566
0.1946 0.5807 0.4346
0.4193 0.8054 0.0654
0.4934 0.8204 0.6434
0.5066 0.1796 0.3566
0.5807 0.1946 0.9346
0.8054 0.4193 0.5654
0.8204 0.4934 0.1434
0.8729 0.8736 0.5307
0.8736 0.8729 0.0307
0.2802 0.7198 0.2500
0.3580 0.6420 0.7500
0.6420 0.3580 0.2500
0.7198 0.2802 0.7500
```

## Properties
M_tot	0.0	μB/f.u.
space-group type	C2/c
energy relative to the elements, uncorrected	0.02	eV per atom
energy above the most stable polymorph in this dataset	0.000	eV/atom
total DFT energy (no corrections)	-3.344	eV/atom

***

[8]
The following is a DFT calculation (PBE) of an optimized crystal structure of Cu2TeAu.

Cell and atoms, written as POSCAR:
```
Cu2TeAu
1.0
-2.0817 2.0817 8.8087
2.0817 -2.0817 8.8087
2.0817 2.0817 -8.8087
Cu Te Au
4 2 2
Direct
0.1093 0.6250 0.9843
0.3750 0.3593 0.4843
0.6407 0.1250 0.0157
0.8750 0.8907 0.5157
0.2500 0.7500 0.5000
0.5000 0.5000 0.0000
0.0000 0.0000 0.0000
0.7500 0.2500 0.5000
```

## Properties
M_tot	0.0	μB/f.u.
space-group type	I-42d
energy relative to the elements, uncorrected	0.20	eV per atom
total DFT energy (no corrections)	-3.449	eV/atom

***

[9]
The following is a DFT calculation (PBE) of an optimized crystal structure of Cu2Te2Au.

Cell and atoms, written as POSCAR:
```
Cu2Te2Au
1.0
7.1316 0.0000 0.0000
0.0000 7.1316 0.0000
0.0000 0.0000 3.8361
Cu Te Au
4 4 2
Direct
0.1259 0.3741 0.0000
0.3741 0.8741 0.0000
0.6259 0.1259 0.0000
0.8741 0.6259 0.0000
0.1783 0.6783 0.5000
0.3217 0.1783 0.5000
0.6783 0.8217 0.5000
0.8217 0.3217 0.5000
0.0000 0.0000 0.0000
0.5000 0.5000 0.0000
```

## Properties
M_tot	0.0	μB/f.u.
space-group type	P4/mbm
energy relative to the elements, uncorrected	0.20	eV per atom
energy above the most stable polymorph in this dataset	0.047	eV/atom
total DFT energy (no corrections)	-3.347	eV/atom

***

[10]
The following is a DFT calculation (PBE) of an optimized crystal structure of Cu2Te6Au.

Cell and atoms, written as POSCAR:
```
Cu2Te6Au
1.0
6.1722 -6.4265 0.0000
6.1722 6.4265 0.0000
-5.8517 0.0000 6.2605
Cu Te Au
4 12 2
Direct
0.0865 0.2484 0.2578
0.2484 0.0865 0.7578
0.7516 0.9135 0.2422
0.9135 0.7516 0.7422
0.0224 0.7572 0.4810
0.0972 0.3049 0.9603
0.2428 0.9776 0.0190
0.2990 0.5797 0.5078
0.3049 0.0972 0.4603
0.4203 0.7010 0.9922
0.5797 0.2990 0.0078
0.6951 0.9028 0.5397
0.7010 0.4203 0.4922
0.7572 0.0224 0.9810
0.9028 0.6951 0.0397
0.9776 0.2428 0.5190
0.3864 0.6136 0.2500
0.6136 0.3864 0.7500
```

## Properties
M_tot	0.0	μB/f.u.
space-group type	C2/c
energy relative to the elements, uncorrected	0.01	eV per atom
energy above the most stable polymorph in this dataset	0.000	eV/atom
total DFT energy (no corrections)	-3.355	eV/atom

***

[11]
The following is a DFT calculation (PBE) of an optimized crystal structure of CuTe6Au2.

Cell and atoms, written as POSCAR:
```
CuTe6Au2
1.0
7.3062 -4.6544 0.0000
7.3062 4.6544 0.0000
-2.4377 0.0000 8.2635
Cu Te Au
2 12 4
Direct
0.1670 0.8330 0.7500
0.8330 0.1670 0.2500
0.0305 0.6638 0.8638
0.0993 0.7293 0.4368
0.2707 0.9007 0.0632
0.3362 0.9695 0.6362
0.3471 0.4099 0.5100
0.4099 0.3471 0.0100
0.5901 0.6529 0.9900
0.6529 0.5901 0.4900
0.6638 0.0305 0.3638
0.7293 0.0993 0.9368
0.9007 0.2707 0.5632
0.9695 0.3362 0.1362
0.1913 0.3247 0.7238
0.3247 0.1913 0.2238
0.6753 0.8087 0.7762
0.8087 0.6753 0.2762
```

## Properties
M_tot	0.0	μB/f.u.
space-group type	C2/c
energy relative to the elements, uncorrected	0.06	eV per atom
total DFT energy (no corrections)	-3.219	eV/atom

***

[12]
The following is a DFT calculation (PBE) of an optimized crystal structure of CuTe3Au.

Cell and atoms, written as POSCAR:
```
CuTe3Au
1.0
5.1009 0.0000 0.0000
0.0000 5.1009 0.0000
0.0000 0.0000 5.1009
Cu Te Au
1 3 1
Direct
0.0000 0.0000 0.0000
0.0000 0.0000 0.5000
0.0000 0.5000 0.0000
0.5000 0.0000 0.0000
0.5000 0.5000 0.5000
```

## Properties
M_tot	0.0	μB/f.u.
space-group type	Pm-3m
energy relative to the elements, uncorrected	0.61	eV per atom
energy above the most stable polymorph in this dataset	0.597	eV/atom
total DFT energy (no corrections)	-2.747	eV/atom